Version P
A geometry-optimized HfAsOsBr2 structure. Source: Alexandria via LeMat-Bulk, functional PBE.

abc: 5.1189 5.1189 5.3810
angles: 90.00 90.00 90.00
Fractional coordinates of all 5 atoms:
Br1 0.0000 0.5000 0.0000
Br2 0.5000 0.0000 0.0000
Hf1 0.0000 0.0000 0.0000
As1 0.0000 0.0000 0.5000
Os1 0.5000 0.5000 0.5000

Output
* SG: P4/mmm (123)
* spin magnetization: 0.78 μB per atom

***

Version Q
A geometry-optimized HfAsOsBr2 structure. Source: Alexandria via LeMat-Bulk, functional PBE.

abc: 5.0370 5.0370 4.7661
angles: 90.00 90.00 90.00
Fractional coordinates of all 5 atoms:
Br1 0.5000 0.0000 0.0000
Hf1 0.5000 0.5000 0.5000
As1 0.0000 0.0000 0.5000
Os1 0.0000 0.0000 0.0000
Br2 0.0000 0.5000 0.0000

Output
* SG: P4/mmm (123)
* spin magnetization: 0.22 μB per atom

***

The most stable of them is version Q.

***

Version P
A geometry-optimized HfAs2OsBr structure. Source: Alexandria via LeMat-Bulk, functional PBE.

abc: 4.7658 4.7658 5.0607
angles: 90.00 90.00 90.00
Fractional coordinates of all 5 atoms:
Os1 0.0000 0.0000 0.0000
Br1 0.0000 0.0000 0.5000
Hf1 0.5000 0.5000 0.5000
As1 0.5000 0.0000 0.0000
As2 0.0000 0.5000 0.0000

Output
* SG: P4/mmm (123)
* spin magnetization: 0.08 μB per atom

***

Version Q
A geometry-optimized HfAs2OsBr structure. Source: Alexandria via LeMat-Bulk, functional PBE.

abc: 5.1881 5.1881 5.0440
angles: 90.00 90.00 90.00
Fractional coordinates of all 5 atoms:
As1 0.0000 0.5000 0.0000
Os1 0.5000 0.5000 0.5000
Br1 0.0000 0.0000 0.5000
As2 0.5000 0.0000 0.0000
Hf1 0.0000 0.0000 0.0000

Output
* SG: P4/mmm (123)
* spin magnetization: 0.73 μB per atom

***

The most stable of them is version P.

***

Version P
A geometry-optimized HfAs2PBr structure. Source: Alexandria via LeMat-Bulk, functional PBE.

abc: 5.2447 5.2447 5.0954
angles: 90.00 90.00 90.00
Fractional coordinates of all 5 atoms:
Hf1 0.0000 0.0000 0.0000
As1 0.5000 0.0000 0.0000
Br1 0.0000 0.0000 0.5000
P1 0.5000 0.5000 0.5000
As2 0.0000 0.5000 0.0000

Output
* SG: P4/mmm (123)
* spin magnetization: 0.16 μB per atom

***

Version Q
A geometry-optimized HfAs2PBr structure. Source: Alexandria via LeMat-Bulk, functional PBE.

abc: 4.7850 4.7850 4.7421
angles: 90.00 90.00 90.00
Fractional coordinates of all 5 atoms:
As1 0.5000 0.0000 0.0000
Br1 0.0000 0.0000 0.5000
As2 0.0000 0.5000 0.0000
Hf1 0.5000 0.5000 0.5000
P1 0.0000 0.0000 0.0000

Output
* SG: P4/mmm (123)
* spin magnetization: 0.00 μB per atom

***

The most stable of them is version P.